! Ni2Mo4C | the Alexandria database | SCAN | single point on PBEsol structure; values from VASP
! * D(E_F): 18.5 states/eV/cell
! * DFT formation energy: -0.0782 eV per atom
! * symmetry: Fd-3m, No. 227
&SYSTEM
  ibrav = 0, nat = 28, ntyp = 3
/
ATOMIC_SPECIES
Ni 58.69 Ni.upf
Mo 95.94 Mo.upf
C 12.01 C.upf
CELL_PARAMETERS angstrom
7.8958 0.0000 0.0000
3.9479 6.8379 0.0000
3.9479 2.2793 6.4469
ATOMIC_POSITIONS crystal
Ni 0.8328 0.5015 0.8328
Mo 0.4400 0.4400 0.0600
Mo 0.6250 0.6250 0.6250
Ni 0.5015 0.8328 0.8328
Ni 0.8328 0.8328 0.8328
Mo 0.0600 0.0600 0.4400
C 0.1250 0.1250 0.6250
Mo 0.4400 0.0600 0.0600
Mo 0.1900 0.1900 0.8100
Mo 0.4400 0.0600 0.4400
Mo 0.1250 0.6250 0.6250
Ni 0.8328 0.8328 0.5015
Mo 0.8100 0.1900 0.1900
Mo 0.1900 0.8100 0.1900
Mo 0.8100 0.8100 0.1900
Ni 0.4172 0.4172 0.7485
C 0.1250 0.6250 0.1250
Ni 0.4172 0.7485 0.4172
Mo 0.1900 0.8100 0.8100
Ni 0.4172 0.4172 0.4172
C 0.1250 0.1250 0.1250
Mo 0.6250 0.1250 0.6250
C 0.6250 0.1250 0.1250
Ni 0.7485 0.4172 0.4172
Mo 0.0600 0.4400 0.0600
Mo 0.6250 0.6250 0.1250
Mo 0.8100 0.1900 0.8100
Mo 0.0600 0.4400 0.4400